The following is a PBE-GGA calculation of a relaxed structure of Zr2Sc4Tl3C3, from the Open Quantum Materials Database.

Lattice parameters (Å, degrees): 5.8423 5.8423 15.6410 100.80 100.80 60.00
Last column: nearest neighbours and their distance in Å.
Sites, in units of the cell vectors:
Zr: 0.0263 0.8554 0.5797  3 C 2.27
Zr: 0.1446 0.9737 0.9203  3 C 2.27
Zr: 0.8554 0.0263 0.0797  3 C 2.27
Zr: 0.9737 0.1446 0.4203  3 C 2.27
Sc: 0.1933 0.3650 0.0813  3 C 2.32-2.33
Sc: 0.3106 0.4686 0.4188  3 C 2.32-2.33
Sc: 0.3650 0.1933 0.5813  3 C 2.32-2.33
Sc: 0.4686 0.3106 0.9188  3 C 2.32-2.33
Sc: 0.5314 0.6894 0.0812  3 C 2.32-2.33
Sc: 0.6350 0.8067 0.4187  3 C 2.32-2.33
Sc: 0.6894 0.5314 0.5812  3 C 2.32-2.33
Sc: 0.8067 0.6350 0.9187  3 C 2.32-2.33
Tl: 0.0821 0.2465 0.7492  4 Sc 3.23-3.25, 2 Zr 3.24, 6 Tl 3.33-3.39
Tl: 0.2465 0.0821 0.2492  4 Sc 3.23-3.25, 2 Zr 3.24, 6 Tl 3.33-3.39
Tl: 0.4121 0.5879 0.7500  2 Zr 3.23, 4 Sc 3.23, 6 Tl 3.33-3.39
Tl: 0.5879 0.4121 0.2500  2 Zr 3.23, 4 Sc 3.23, 6 Tl 3.33-3.39
Tl: 0.7535 0.9179 0.7508  4 Sc 3.23-3.25, 2 Zr 3.24, 6 Tl 3.33-3.39
Tl: 0.9179 0.7535 0.2508  4 Sc 3.23-3.25, 2 Zr 3.24, 6 Tl 3.33-3.39
C: 0.0000 0.5000 0.5000  2 Zr 2.27, 4 Sc 2.32
C: 0.1612 0.6776 0.0000  2 Zr 2.27, 4 Sc 2.32-2.33
C: 0.3224 0.8388 0.5000  2 Zr 2.27, 4 Sc 2.32-2.33
C: 0.5000 0.0000 0.0000  2 Zr 2.27, 4 Sc 2.32
C: 0.6776 0.1612 0.5000  2 Zr 2.27, 4 Sc 2.32-2.33
C: 0.8388 0.3224 0.0000  2 Zr 2.27, 4 Sc 2.32-2.33

Computed properties:
uncorrected energy: -6.97 eV/atom
M_tot: 0.01 μB per formula unit
symmetry: C2/c